Entry 1:
Entry from Alexandria via LeMat-Bulk: a relaxed structure of Sm2Ga3Cu (GGA-PBEsol).

## Properties
For the density of states at the Fermi level, the calculation gives 1.287 states/eV/f.u. As for the symmetry: P3m1 (156). As for the energy: -4.7067 eV/atom. The formation energy comes out at -617 meV/atom. As for the calculated volume: 20.05 Å³ per atom.

Lattice parameters (Å, degrees): 4.3516 4.3516 7.3367 90.00 90.00 120.00
With the nearest neighbours (Å) after each atom.
Atoms (fractional coordinates):
Sm1 0.0000 0.0000 0.0000  3 Cu 2.93, 6 Ga 3.00-3.11
Sm2 0.0000 0.0000 0.4713  6 Ga 2.99-3.00, 3 Cu 3.18
Ga1 0.3333 0.6667 0.7759  3 Ga 2.58
Ga2 0.6667 0.3333 0.2501  3 Cu 2.53
Ga3 0.6667 0.3333 0.6939  3 Ga 2.58
Cu1 0.3333 0.6667 0.2061  3 Ga 2.53

Entry 2:
Entry from Alexandria via LeMat-Bulk: a relaxed structure of MgIrPb3 (GGA-PBEsol).

## Properties
For the density of states at the Fermi level, the calculation gives 5.312 states/eV/f.u. As for the symmetry: Pm-3m (221). As for the energy: -3.4334 eV/atom. The formation energy comes out at 1274 meV/atom. As for the calculated volume: 28.13 Å³ per atom.

Lattice parameters (Å, degrees): 5.2005 5.2005 5.2005 90.00 90.00 90.00
With the nearest neighbours (Å) after each atom.
Atoms (fractional coordinates):
Mg1 0.0000 0.0000 0.0000  6 Pb 2.60
Ir1 0.5000 0.5000 0.5000  12 Pb 3.68
Pb1 0.0000 0.0000 0.5000  2 Mg 2.60
Pb2 0.0000 0.5000 0.0000  2 Mg 2.60
Pb3 0.5000 0.0000 0.0000  2 Mg 2.60

Entry 3:
Entry from Alexandria via LeMat-Bulk: a relaxed structure of Zn2NiPb (GGA-PBEsol).

## Properties
For the density of states at the Fermi level, the calculation gives 1.606 states/eV/f.u. As for the symmetry: Cmmm (65). As for the energy: -3.1077 eV/atom. The formation energy comes out at 222 meV/atom. As for the calculated volume: 16.21 Å³ per atom.

Lattice parameters (Å, degrees): 3.9769 3.9769 4.1288 90.00 90.00 96.91
With the nearest neighbours (Å) after each atom.
Atoms (fractional coordinates):
Zn1 0.0000 0.5000 0.0000  2 Zn 2.64, 4 Pb 2.87, 4 Ni 2.87
Zn2 0.5000 0.0000 0.0000  2 Zn 2.64, 4 Pb 2.87, 4 Ni 2.87
Ni1 0.0000 0.0000 0.5000  2 Pb 2.64, 8 Zn 2.87
Pb1 0.5000 0.5000 0.5000  2 Ni 2.64, 8 Zn 2.87

Entry 4:
Entry from Alexandria via LeMat-Bulk: a relaxed structure of Ba3BiN (GGA-PBEsol).

## Properties
For the density of states at the Fermi level, the calculation gives 6.734 states/eV/f.u. Its formation energy (no corrections) is 690 meV/atom. As for the symmetry: Pm-3m (221). As for the energy: -3.1620 eV/atom. As for the calculated volume: 57.85 Å³ per atom.

Lattice parameters (Å, degrees): 6.6133 6.6133 6.6133 90.00 90.00 90.00
With the nearest neighbours (Å) after each atom.
Atoms (fractional coordinates):
Ba1 0.0000 0.0000 0.5000  2 Bi 3.31
Ba2 0.0000 0.5000 0.0000  2 Bi 3.31
Ba3 0.5000 0.0000 0.0000  2 Bi 3.31
Bi1 0.0000 0.0000 0.0000  6 Ba 3.31
N1 0.5000 0.5000 0.5000  12 Ba 4.68

Entry 5:
Entry from Alexandria via LeMat-Bulk: a relaxed structure of SrCd2Cu (GGA-PBEsol).

## Properties
For the density of states at the Fermi level, the calculation gives 1.854 states/eV/f.u. As for the symmetry: P4/mmm (123). As for the energy: -2.0921 eV/atom. The formation energy comes out at 50 meV/atom. As for the calculated volume: 23.70 Å³ per atom.

Lattice parameters (Å, degrees): 4.4040 4.4040 4.8881 90.00 90.00 90.00
With the nearest neighbours (Å) after each atom.
Atoms (fractional coordinates):
Sr1 0.0000 0.0000 0.0000  4 Cu 3.11, 8 Cd 3.29
Cd1 0.0000 0.5000 0.5000  4 Cd 3.11, 4 Cu 3.29, 4 Sr 3.29
Cd2 0.5000 0.0000 0.5000  4 Cd 3.11, 4 Cu 3.29, 4 Sr 3.29
Cu1 0.5000 0.5000 0.0000  4 Sr 3.11, 8 Cd 3.29

Entry 6:
Entry from Alexandria via LeMat-Bulk: a relaxed structure of PaGaCu2 (GGA-PBEsol).

## Properties
For the density of states at the Fermi level, the calculation gives 2.329 states/eV/f.u. As for the symmetry: Fm-3m (225). As for the energy: -5.6961 eV/atom. The formation energy comes out at -136 meV/atom. As for the calculated volume: 16.40 Å³ per atom.

Lattice parameters (Å, degrees): 4.5271 4.5271 4.5271 60.00 60.00 60.00
With the nearest neighbours (Å) after each atom.
Atoms (fractional coordinates):
Pa1 0.0000 0.0000 0.0000  8 Cu 2.77
Ga1 0.5000 0.5000 0.5000  8 Cu 2.77
Cu1 0.2500 0.2500 0.2500  4 Pa 2.77, 4 Ga 2.77
Cu2 0.7500 0.7500 0.7500  4 Ga 2.77, 4 Pa 2.77

Entry 7:
Entry from Alexandria via LeMat-Bulk: a relaxed structure of Tl2ZnRh (GGA-PBEsol).

## Properties
For the density of states at the Fermi level, the calculation gives 2.897 states/eV/f.u. As for the symmetry: R3m (160). As for the energy: -3.6074 eV/atom. The formation energy comes out at 138 meV/atom. As for the calculated volume: 20.24 Å³ per atom.

Lattice parameters (Å, degrees): 9.1659 9.1659 9.1659 20.28 20.28 20.28
With the nearest neighbours (Å) after each atom.
Atoms (fractional coordinates):
Tl1 0.0000 0.0000 0.0000  3 Zn 3.03, 6 Tl 3.23
Tl2 0.2271 0.2271 0.2271  3 Rh 2.77
Zn1 0.7554 0.7554 0.7554  3 Rh 2.50
Rh1 0.4843 0.4843 0.4843  3 Zn 2.50, 3 Tl 2.77

Entry 8:
Entry from Alexandria via LeMat-Bulk: a relaxed structure of BeTlTc (GGA-PBEsol).

## Properties
For the density of states at the Fermi level, the calculation gives 2.964 states/eV/f.u. As for the symmetry: P3m1 (156). As for the energy: -5.3110 eV/atom. The formation energy comes out at 654 meV/atom. As for the calculated volume: 15.09 Å³ per atom.

Lattice parameters (Å, degrees): 4.0529 4.0529 3.1834 90.00 90.00 120.00
With the nearest neighbours (Å) after each atom.
Atoms (fractional coordinates):
Be1 0.0000 0.0000 0.0000  3 Tc 2.41, 3 Tl 2.56
Tl1 0.6667 0.3333 0.6745  3 Be 2.56, 6 Tc 2.82-2.84
Tc1 0.3333 0.6667 0.1810  3 Be 2.41

What is the energy in the sixth record? -5.6961 eV/atom

What is the calculated volume in the seventh record? 20.24 Å³ per atom